# 1
A geometry-optimized BSbMo2As structure, computed with PBE-GGA.

Cell lengths 4.407, 4.333, 4.407 Å; angles 90.00, 90.00, 90.00 degrees
Site moments in Bohr magnetons follow the coordinates.
Fractional coordinates of all 5 atoms:
Sb1 0.000 0.500 0.000  -0.01
As1 0.500 0.500 0.500  0.00
Mo1 0.500 0.000 0.000  0.22
Mo2 0.000 0.000 0.500  0.28
B1 0.000 0.000 0.000  -0.01

Computed properties:
ΔE_f (raw) ... 0.805 eV/atom
Energy ... -33.08 eV for the cell shown
Space group ... P4/mmm


# 2
A geometry-optimized BMoAs2Se structure, computed with PBE-GGA.

Cell lengths 4.904, 4.904, 4.874 Å; angles 90.00, 90.00, 90.00 degrees
Fractional coordinates of all 5 atoms:
B1 0.500 0.500 0.500
As1 0.000 0.500 0.000
As2 0.500 0.000 0.000
Se1 0.000 0.000 0.500
Mo1 0.000 0.000 0.000

Computed properties:
ΔE_f (raw) ... 1.240 eV/atom
Energy ... -24.09 eV for the cell shown
Space group ... P4/mmm